# HfTiAgSn2

Crystalline HfTiAgSn2 at its relaxed geometry (PBE, the Alexandria database). Values from VASP.

Computed properties:
**ΔE_f**: 1.005 eV/atom
**D(E_F)**: 8.47 states/eV/cell
**DFT total energy**: -4.7361 eV/atom
**Volume**: 29.9 A^3/atom
**SG**: P4/mmm, No. 123

```
&SYSTEM
  ibrav = 0, nat = 5, ntyp = 4
/
ATOMIC_SPECIES
Hf 178.49 Hf.upf
Ti 47.87 Ti.upf
Ag 107.87 Ag.upf
Sn 118.71 Sn.upf
CELL_PARAMETERS angstrom
5.3720 0.0000 0.0000
0.0000 5.3720 0.0000
0.0000 0.0000 5.1719
ATOMIC_POSITIONS angstrom
Hf 0.0000 0.0000 0.0000
Ti 2.6860 2.6860 2.5859
Ag 0.0000 0.0000 2.5859
Sn 0.0000 2.6860 0.0000
Sn 2.6860 0.0000 0.0000
```


# CrTe2Rh

Crystalline CrTe2Rh at its relaxed geometry (PBE, the Alexandria database). Values from VASP.

Computed properties:
**Offset from the most stable computed form**: 292 meV/atom
**D(E_F)**: 0.68 states/eV/cell
**DFT total energy**: -5.6630 eV/atom
**Volume**: 28.1 A^3/atom
**SG**: R-3m, No. 166

```
&SYSTEM
  ibrav = 0, nat = 4, ntyp = 3
/
ATOMIC_SPECIES
Cr 52.00 Cr.upf
Te 127.60 Te.upf
Rh 102.91 Rh.upf
CELL_PARAMETERS angstrom
2.0003 1.1549 8.0980
-2.0003 1.1549 8.0980
0.0000 -2.3097 8.0980
ATOMIC_POSITIONS angstrom
Cr 0.0000 0.0000 0.0000
Te 0.0000 0.0000 2.6993
Te 0.0000 0.0000 21.5945
Rh 0.0000 0.0000 12.1469
```


# TaAg2Se

Crystalline TaAg2Se at its relaxed geometry (PBE, the Alexandria database). Values from VASP.

Computed properties:
**D(E_F)**: 2.06 states/eV/cell
**DFT total energy**: -5.2795 eV/atom
**Volume**: 19.6 A^3/atom
**SG**: R3m, No. 160

```
&SYSTEM
  ibrav = 0, nat = 4, ntyp = 3
/
ATOMIC_SPECIES
Ta 180.95 Ta.upf
Ag 107.87 Ag.upf
Se 78.96 Se.upf
CELL_PARAMETERS angstrom
1.5788 0.9115 9.0605
-1.5788 0.9115 9.0605
0.0000 -1.8230 9.0605
ATOMIC_POSITIONS angstrom
Ta 0.0000 0.0000 0.0000
Ag 0.0000 0.0000 13.6605
Ag 0.0000 0.0000 20.4406
Se 0.0000 0.0000 7.2639
```


# NdAlCu2S4

Crystalline NdAlCu2S4 at its relaxed geometry (PBE, the Alexandria database). Values from VASP.

Computed properties:
**DFT total energy**: -5.1585 eV/atom
**Volume**: 19.3 A^3/atom
**SG**: I222, No. 23

```
&SYSTEM
  ibrav = 0, nat = 8, ntyp = 4
/
ATOMIC_SPECIES
Nd 144.24 Nd.upf
Al 26.98 Al.upf
Cu 63.55 Cu.upf
S 32.06 S.upf
CELL_PARAMETERS angstrom
-3.1725 3.2785 3.7201
3.1725 -3.2785 3.7201
3.1725 3.2785 -3.7201
ATOMIC_POSITIONS angstrom
Nd 0.0000 0.0000 0.0000
Al 0.0000 0.0000 3.7201
Cu 3.1725 0.0000 2.3676
Cu 0.0000 3.2785 1.3525
S 1.8573 1.9868 -1.2998
S 1.3152 -1.2917 5.0199
S 1.3152 1.2917 2.4203
S 1.8573 4.5702 1.2998
```


# H2PdRhPb

Crystalline H2PdRhPb at its relaxed geometry (PBE, the Alexandria database). Values from VASP.

Computed properties:
**D(E_F)**: 3.84 states/eV/cell
**DFT total energy**: -4.6464 eV/atom
**Volume**: 12.8 A^3/atom
**SG**: P2_1/m, No. 11

```
&SYSTEM
  ibrav = 0, nat = 10, ntyp = 4
/
ATOMIC_SPECIES
H 1.01 H.upf
Pd 106.42 Pd.upf
Rh 102.91 Rh.upf
Pb 207.20 Pb.upf
CELL_PARAMETERS angstrom
5.9166 0.0000 0.0000
0.0000 3.5442 0.0000
-1.4399 0.0000 6.1034
ATOMIC_POSITIONS angstrom
H -0.0115 0.8860 2.6802
H 1.4153 2.6581 3.0640
H 3.0614 0.8860 3.0394
H 4.4881 2.6581 3.4232
Pd 1.4706 0.8860 3.9859
Pd 3.0060 2.6581 2.1176
Rh -0.0387 2.6581 2.0579
Rh 4.5154 0.8860 4.0455
Pb 0.0263 2.6581 5.7999
Pb 4.4504 0.8860 0.3035
```


# LaZn2Mo

Crystalline LaZn2Mo at its relaxed geometry (PBE, the Alexandria database). Values from VASP.

Computed properties:
**ΔE_f**: 0.273 eV/atom
**Offset from the most stable computed form**: 172 meV/atom
**D(E_F)**: 3.69 states/eV/cell
**DFT total energy**: -4.3033 eV/atom
**Volume**: 20.8 A^3/atom
**SG**: P4mm, No. 99

```
&SYSTEM
  ibrav = 0, nat = 4, ntyp = 3
/
ATOMIC_SPECIES
La 138.91 La.upf
Zn 65.41 Zn.upf
Mo 95.94 Mo.upf
CELL_PARAMETERS angstrom
3.4380 0.0000 0.0000
0.0000 3.4380 0.0000
0.0000 0.0000 7.0284
ATOMIC_POSITIONS angstrom
La 0.0000 0.0000 0.0000
Zn 0.0000 0.0000 3.1864
Zn 1.7190 1.7190 4.6904
Mo 1.7190 1.7190 2.0586
```


# TbPmTe2S

Crystalline TbPmTe2S at its relaxed geometry (PBE, the Alexandria database). Values from VASP.

Computed properties:
**D(E_F)**: 2.99 states/eV/cell
**DFT total energy**: -5.4534 eV/atom
**Volume**: 31.2 A^3/atom
**SG**: P4/nmm, No. 129

```
&SYSTEM
  ibrav = 0, nat = 10, ntyp = 4
/
ATOMIC_SPECIES
Tb 158.93 Tb.upf
Pm 145.00 Pm.upf
Te 127.60 Te.upf
S 32.06 S.upf
CELL_PARAMETERS angstrom
4.4477 0.0000 0.0000
0.0000 4.4477 0.0000
0.0000 0.0000 15.7547
ATOMIC_POSITIONS angstrom
Tb 1.1119 1.1119 1.7747
Tb 3.3358 3.3358 13.9799
Pm 1.1119 1.1119 9.5120
Pm 3.3358 3.3358 6.2427
Te 1.1119 1.1119 4.6907
Te 1.1119 1.1119 14.2919
Te 3.3358 3.3358 1.4628
Te 3.3358 3.3358 11.0640
S 1.1119 3.3358 7.8773
S 3.3358 1.1119 7.8773
```


# GdAlAgHg

Crystalline GdAlAgHg at its relaxed geometry (PBE, the Alexandria database). Values from VASP.

Computed properties:
**ΔE_f**: -0.304 eV/atom
**D(E_F)**: 2.31 states/eV/cell
**DFT total energy**: -5.5480 eV/atom
**Volume**: 21.6 A^3/atom
**SG**: F-43m, No. 216

```
&SYSTEM
  ibrav = 0, nat = 4, ntyp = 4
/
ATOMIC_SPECIES
Gd 157.25 Gd.upf
Al 26.98 Al.upf
Ag 107.87 Ag.upf
Hg 200.59 Hg.upf
CELL_PARAMETERS angstrom
0.0000 3.5069 3.5069
3.5069 0.0000 3.5069
3.5069 3.5069 0.0000
ATOMIC_POSITIONS angstrom
Gd 0.0000 0.0000 0.0000
Al 3.5069 3.5069 3.5069
Ag 5.2603 5.2603 5.2603
Hg 1.7534 1.7534 1.7534
```


# K2Mn2Co

Crystalline K2Mn2Co at its relaxed geometry (PBE, the Alexandria database). Values from VASP.

Computed properties:
**ΔE_f**: 1.143 eV/atom
**Offset from the most stable computed form**: 0 meV/atom
**D(E_F)**: 4.82 states/eV/cell
**DFT total energy**: -4.3855 eV/atom
**Volume**: 21.9 A^3/atom
**SG**: I4/mmm, No. 139

```
&SYSTEM
  ibrav = 0, nat = 5, ntyp = 3
/
ATOMIC_SPECIES
K 39.10 K.upf
Mn 54.94 Mn.upf
Co 58.93 Co.upf
CELL_PARAMETERS angstrom
-1.5550 1.5550 11.3415
1.5550 -1.5550 11.3415
1.5550 1.5550 -11.3415
ATOMIC_POSITIONS angstrom
K 0.0000 0.0000 2.5700
K 0.0000 0.0000 20.1130
Mn 1.5550 0.0000 5.6708
Mn 0.0000 1.5550 5.6708
Co 0.0000 0.0000 11.3415
```


# MnAlFeAu

Crystalline MnAlFeAu at its relaxed geometry (PBE, the Alexandria database). Values from VASP.

Computed properties:
**ΔE_f**: -0.095 eV/atom
**D(E_F)**: 1.26 states/eV/cell
**DFT total energy**: -6.2584 eV/atom
**Volume**: 14.0 A^3/atom
**SG**: F-43m, No. 216

```
&SYSTEM
  ibrav = 0, nat = 4, ntyp = 4
/
ATOMIC_SPECIES
Mn 54.94 Mn.upf
Al 26.98 Al.upf
Fe 55.84 Fe.upf
Au 196.97 Au.upf
CELL_PARAMETERS angstrom
0.0000 3.0380 3.0380
3.0380 0.0000 3.0380
3.0380 3.0380 0.0000
ATOMIC_POSITIONS angstrom
Mn 0.0000 0.0000 0.0000
Al 3.0380 3.0380 3.0380
Fe 1.5190 1.5190 1.5190
Au 4.5570 4.5570 4.5570
```


# La4PtAu3

Crystalline La4PtAu3 at its relaxed geometry (PBE, the Alexandria database). Values from VASP.

Computed properties:
**ΔE_f**: -0.916 eV/atom
**D(E_F)**: 6.95 states/eV/cell
**DFT total energy**: -5.3642 eV/atom
**Volume**: 27.3 A^3/atom
**SG**: Pmm2, No. 25

```
&SYSTEM
  ibrav = 0, nat = 8, ntyp = 3
/
ATOMIC_SPECIES
La 138.91 La.upf
Pt 195.08 Pt.upf
Au 196.97 Au.upf
CELL_PARAMETERS angstrom
3.9995 0.0000 0.0000
0.0000 4.7924 0.0000
0.0000 0.0000 11.4122
ATOMIC_POSITIONS angstrom
La 0.0000 0.0000 0.0000
La 0.0000 2.3962 2.9714
La 1.9997 0.0000 5.4861
La 1.9997 2.3962 8.6968
Pt 1.9997 0.0000 2.4807
Au 0.0000 0.0000 8.1444
Au 0.0000 2.3962 6.1417
Au 1.9997 2.3962 0.4363
```


# LiSc3Ag

Crystalline LiSc3Ag at its relaxed geometry (PBE, the Alexandria database). Values from VASP.

Computed properties:
**ΔE_f**: 0.596 eV/atom
**Offset from the most stable computed form**: 150 meV/atom
**D(E_F)**: 4.95 states/eV/cell
**DFT total energy**: -4.1563 eV/atom
**Volume**: 23.6 A^3/atom
**SG**: Pm-3m, No. 221

```
&SYSTEM
  ibrav = 0, nat = 5, ntyp = 3
/
ATOMIC_SPECIES
Li 6.94 Li.upf
Sc 44.96 Sc.upf
Ag 107.87 Ag.upf
CELL_PARAMETERS angstrom
4.9039 0.0000 0.0000
0.0000 4.9039 0.0000
0.0000 0.0000 4.9039
ATOMIC_POSITIONS angstrom
Li 0.0000 0.0000 0.0000
Sc 0.0000 0.0000 2.4519
Sc 0.0000 2.4519 0.0000
Sc 2.4519 0.0000 0.0000
Ag 2.4519 2.4519 2.4519
```